Below is crystalline PrPu2Sb3 at its relaxed geometry, with properties calculated at the PBE-GGA level.

a = 4.471 Å, b = 6.319 Å, c = 7.739 Å
α = 114.10°, β = 106.79°, γ = 90.00°
Site moments in Bohr magnetons follow the coordinates.
Element x y z (fractional)
Sb  0.827  0.827  0.654  -0.11
Sb  0.500  0.500  0.000  -0.11
Sb  0.173  0.173  0.346  -0.11
Pu  0.835  0.335  0.671  5.14
Pu  0.165  0.665  0.329  5.14
Pr  0.500  0.000  0.000  -0.03

Computed properties:
Formation energy from raw total energies   -0.783 eV/atom
Crystal system   orthorhombic